1.
{
  "formula": "Sm4Er3Se8",
  "functional": "PBE",
  "state": "optimized geometry",
  "lattice": [[4.0376, 2.3311, 7.5867], [-4.0376, 2.3311, 7.5867], [0.0000, -4.6622, 7.5867]],
  "species": ["Sm", "Sm", "Sm", "Sm", "Er", "Er", "Er", "Se", "Se", "Se", "Se", "Se", "Se", "Se", "Se"],
  "fractional_positions": [[0.0000, 0.0000, 0.0000], [0.1460, 0.1460, 0.1460], [0.5000, 0.5000, 0.5000], [0.8540, 0.8540, 0.8540], [0.0000, 0.5000, 0.5000], [0.5000, 0.0000, 0.5000], [0.5000, 0.5000, 0.0000], [0.2498, 0.2498, 0.7365], [0.2498, 0.7365, 0.2498], [0.2635, 0.7502, 0.7502], [0.2685, 0.2685, 0.2685], [0.7315, 0.7315, 0.7315], [0.7365, 0.2498, 0.2498], [0.7502, 0.2635, 0.7502], [0.7502, 0.7502, 0.2635]],
  "e_form_raw_mev_per_atom": -1607,
  "space_group": "R-3m"
}

=====

2.
{
  "formula": "SmErSnSe",
  "functional": "PBE",
  "state": "optimized geometry",
  "lattice": [[4.2687, 0.0000, 0.0000], [0.0000, 4.2687, 0.0000], [0.0000, 0.0000, 6.0933]],
  "species": ["Sm", "Er", "Sn", "Se"],
  "fractional_positions": [[0.0000, 0.0000, 0.0000], [0.5000, 0.5000, 0.5000], [0.0000, 0.0000, 0.5000], [0.5000, 0.5000, 0.0000]],
  "e_form_raw_mev_per_atom": -1246,
  "space_group": "P4/mmm"
}

=====

3.
{
  "formula": "SrSmEr4Se8",
  "functional": "PBE",
  "state": "optimized geometry",
  "lattice": [[4.2386, 2.4472, 7.0024], [-4.2386, 2.4472, 7.0024], [0.0000, -4.8943, 7.0024]],
  "species": ["Sr", "Sm", "Er", "Er", "Er", "Er", "Se", "Se", "Se", "Se", "Se", "Se", "Se", "Se"],
  "fractional_positions": [[0.0000, 0.0000, 0.0000], [0.6287, 0.6287, 0.6287], [0.1214, 0.6284, 0.6284], [0.2522, 0.2522, 0.2522], [0.6284, 0.1214, 0.6284], [0.6284, 0.6284, 0.1214], [0.3796, 0.3796, 0.8570], [0.3796, 0.8570, 0.3796], [0.3845, 0.3845, 0.3845], [0.4164, 0.8681, 0.8681], [0.8570, 0.3796, 0.3796], [0.8621, 0.8621, 0.8621], [0.8681, 0.4164, 0.8681], [0.8681, 0.8681, 0.4164]],
  "e_form_raw_mev_per_atom": -1780,
  "space_group": "R3m"
}

=====

4.
{
  "formula": "SrSm2ErSe4",
  "functional": "PBE",
  "state": "optimized geometry",
  "lattice": [[7.2583, 0.0000, 0.0000], [0.0000, 4.1651, 0.0000], [-2.3746, 0.0000, 6.9001]],
  "species": ["Sr", "Sm", "Sm", "Er", "Se", "Se", "Se", "Se"],
  "fractional_positions": [[0.0000, 0.0000, 0.0000], [0.0000, 0.5000, 0.5000], [0.5000, 0.0000, 0.5000], [0.5000, 0.5000, 0.0000], [0.2614, 0.0000, 0.7562], [0.2612, 0.5000, 0.2518], [0.7386, 0.0000, 0.2438], [0.7388, 0.5000, 0.7482]],
  "e_form_raw_mev_per_atom": -1812,
  "space_group": "P2/m"
}

=====

5.
{
  "formula": "Tb2SmErSe4",
  "functional": "PBE",
  "state": "optimized geometry",
  "lattice": [[7.0846, 0.0000, 0.0000], [0.0000, 4.0469, 0.0000], [-2.3174, 0.0000, 6.8034]],
  "species": ["Tb", "Tb", "Sm", "Er", "Se", "Se", "Se", "Se"],
  "fractional_positions": [[0.0000, 0.0000, 0.0000], [0.0000, 0.5000, 0.5000], [0.5000, 0.0000, 0.5000], [0.5000, 0.5000, 0.0000], [0.2472, 0.5000, 0.2431], [0.2517, 0.0000, 0.7564], [0.7483, 0.0000, 0.2436], [0.7528, 0.5000, 0.7569]],
  "e_form_raw_mev_per_atom": -1760,
  "space_group": "P2/m"
}

=====

6.
{
  "formula": "Tb2SmErSe6",
  "functional": "PBE",
  "state": "optimized geometry",
  "lattice": [[3.6266, 2.0938, 6.5046], [-3.6266, 2.0938, 6.5046], [0.0000, -4.1877, 6.5046]],
  "species": ["Tb", "Tb", "Sm", "Er", "Se", "Se", "Se", "Se", "Se", "Se"],
  "fractional_positions": [[0.0000, 0.0000, 0.0000], [0.4978, 0.4978, 0.4978], [0.1979, 0.1979, 0.1979], [0.6947, 0.6947, 0.6947], [0.0927, 0.4063, 0.7912], [0.2945, 0.8941, 0.6045], [0.4063, 0.7912, 0.0927], [0.6045, 0.2945, 0.8941], [0.7912, 0.0927, 0.4063], [0.8941, 0.6045, 0.2945]],
  "e_form_raw_mev_per_atom": -1849,
  "space_group": "R3"
}

=====

7.
{
  "formula": "TbSm2ErSe5",
  "functional": "PBE",
  "state": "optimized geometry",
  "lattice": [[5.1074, 0.0000, 0.0000], [0.0000, 5.1074, 0.0000], [0.0000, 0.0000, 10.7478]],
  "species": ["Tb", "Sm", "Sm", "Er", "Se", "Se", "Se", "Se", "Se"],
  "fractional_positions": [[0.0000, 0.0000, 0.0000], [0.5000, 0.5000, 0.3296], [0.5000, 0.5000, 0.6704], [0.0000, 0.0000, 0.5000], [0.0000, 0.0000, 0.2473], [0.0000, 0.0000, 0.7527], [0.0000, 0.5000, 0.5000], [0.5000, 0.0000, 0.5000], [0.5000, 0.5000, 0.0000]],
  "e_form_raw_mev_per_atom": -1231,
  "space_group": "P4/mmm"
}

=====

8.
{
  "formula": "TbSmEr4Se8",
  "functional": "PBE",
  "state": "optimized geometry",
  "lattice": [[4.1971, 2.4232, 6.8790], [-4.1971, 2.4232, 6.8790], [0.0000, -4.8464, 6.8790]],
  "species": ["Tb", "Sm", "Er", "Er", "Er", "Er", "Se", "Se", "Se", "Se", "Se", "Se", "Se", "Se"],
  "fractional_positions": [[0.0000, 0.0000, 0.0000], [0.3749, 0.3749, 0.3749], [0.0001, 0.0001, 0.5026], [0.0001, 0.5026, 0.0001], [0.5026, 0.0001, 0.0001], [0.6262, 0.6262, 0.6262], [0.2309, 0.7551, 0.7551], [0.2398, 0.2398, 0.2398], [0.2430, 0.2430, 0.7800], [0.2430, 0.7800, 0.2430], [0.7551, 0.2309, 0.7551], [0.7551, 0.7551, 0.2309], [0.7582, 0.7582, 0.7582], [0.7800, 0.2430, 0.2430]],
  "e_form_raw_mev_per_atom": -1703,
  "space_group": "R3m"
}

=====

9.
{
  "formula": "TbSm3Er2Se6",
  "functional": "PBE",
  "state": "optimized geometry",
  "lattice": [[3.5323, -6.1552, 0.0000], [3.5323, 6.1552, 0.0000], [-2.3693, 0.0000, 6.7952]],
  "species": ["Tb", "Sm", "Sm", "Sm", "Er", "Er", "Se", "Se", "Se", "Se", "Se", "Se"],
  "fractional_positions": [[0.0000, 0.0000, 0.0000], [0.1639, 0.8361, 0.5000], [0.5000, 0.5000, 0.5000], [0.8361, 0.1639, 0.5000], [0.3338, 0.6662, 0.0000], [0.6662, 0.3338, 0.0000], [0.0796, 0.4170, 0.2397], [0.2580, 0.2580, 0.7623], [0.4170, 0.0796, 0.2397], [0.5830, 0.9204, 0.7603], [0.7420, 0.7420, 0.2377], [0.9204, 0.5830, 0.7603]],
  "e_form_raw_mev_per_atom": -1774,
  "space_group": "C2/m"
}

=====

10.
{
  "formula": "Tb4Sm3ErSe8",
  "functional": "PBE",
  "state": "optimized geometry",
  "lattice": [[4.1195, 2.3784, 6.7264], [-4.1195, 2.3784, 6.7264], [0.0000, -4.7568, 6.7264]],
  "species": ["Tb", "Tb", "Tb", "Tb", "Sm", "Sm", "Sm", "Er", "Se", "Se", "Se", "Se", "Se", "Se", "Se", "Se"],
  "fractional_positions": [[0.0000, 0.0000, 0.0000], [0.0000, 0.5000, 0.5000], [0.5000, 0.0000, 0.5000], [0.5000, 0.5000, 0.0000], [0.0000, 0.0000, 0.5000], [0.0000, 0.5000, 0.0000], [0.5000, 0.0000, 0.0000], [0.5000, 0.5000, 0.5000], [0.2525, 0.2525, 0.2525], [0.2522, 0.2522, 0.7429], [0.2522, 0.7429, 0.2522], [0.2571, 0.7478, 0.7478], [0.7429, 0.2522, 0.2522], [0.7478, 0.2571, 0.7478], [0.7478, 0.7478, 0.2571], [0.7475, 0.7475, 0.7475]],
  "e_form_raw_mev_per_atom": -1773,
  "space_group": "R-3m"
}

=====

11.
{
  "formula": "Tb2SmErSe5",
  "functional": "PBE",
  "state": "optimized geometry",
  "lattice": [[5.1018, 0.0000, 0.0000], [0.0000, 5.1018, 0.0000], [0.0000, 0.0000, 10.8724]],
  "species": ["Tb", "Tb", "Sm", "Er", "Se", "Se", "Se", "Se", "Se"],
  "fractional_positions": [[0.0000, 0.0000, 0.1588], [0.0000, 0.0000, 0.8412], [0.5000, 0.5000, 0.5000], [0.5000, 0.5000, 0.0000], [0.0000, 0.0000, 0.5000], [0.0000, 0.5000, 0.0000], [0.5000, 0.0000, 0.0000], [0.5000, 0.5000, 0.2497], [0.5000, 0.5000, 0.7503]],
  "e_form_raw_mev_per_atom": -1167,
  "space_group": "P4/mmm"
}

=====

12.
{
  "formula": "TbSmEr2Se6",
  "functional": "PBE",
  "state": "optimized geometry",
  "lattice": [[3.6144, 2.0868, 6.4794], [-3.6144, 2.0868, 6.4794], [0.0000, -4.1736, 6.4794]],
  "species": ["Tb", "Sm", "Er", "Er", "Se", "Se", "Se", "Se", "Se", "Se"],
  "fractional_positions": [[0.0000, 0.0000, 0.0000], [0.5023, 0.5023, 0.5023], [0.3048, 0.3048, 0.3048], [0.8032, 0.8032, 0.8032], [0.0895, 0.4079, 0.7016], [0.1938, 0.9155, 0.5905], [0.4079, 0.7016, 0.0895], [0.5905, 0.1938, 0.9155], [0.7016, 0.0895, 0.4079], [0.9155, 0.5905, 0.1938]],
  "e_form_raw_mev_per_atom": -1847,
  "space_group": "R3"
}

=====

13.
{
  "formula": "Tb2Sm3ErSe6",
  "functional": "PBE",
  "state": "optimized geometry",
  "lattice": [[3.5472, -6.1808, 0.0000], [3.5472, 6.1808, 0.0000], [-2.3790, 0.0000, 6.7872]],
  "species": ["Tb", "Tb", "Sm", "Sm", "Sm", "Er", "Se", "Se", "Se", "Se", "Se", "Se"],
  "fractional_positions": [[0.1670, 0.8330, 0.0000], [0.8330, 0.1670, 0.0000], [0.0000, 0.0000, 0.5000], [0.3305, 0.6695, 0.5000], [0.6695, 0.3305, 0.5000], [0.5000, 0.5000, 0.0000], [0.0907, 0.4199, 0.7598], [0.2513, 0.2513, 0.2424], [0.4199, 0.0907, 0.7598], [0.5801, 0.9093, 0.2402], [0.7487, 0.7487, 0.7576], [0.9093, 0.5801, 0.2402]],
  "e_form_raw_mev_per_atom": -1786,
  "space_group": "C2/m"
}

=====

14.
{
  "formula": "SmErTeSe2",
  "functional": "PBE",
  "state": "optimized geometry",
  "lattice": [[-2.3244, 2.3244, 7.0632], [2.3244, -2.3244, 7.0632], [2.3244, 2.3244, -7.0632]],
  "species": ["Sm", "Er", "Te", "Se", "Se"],
  "fractional_positions": [[0.0000, 0.0000, 0.0000], [0.7211, 0.7211, 0.0000], [0.3659, 0.3659, 0.0000], [0.1170, 0.6170, 0.5000], [0.6170, 0.1170, 0.5000]],
  "e_form_raw_mev_per_atom": -1333,
  "space_group": "I4mm"
}

=====

15.
{
  "formula": "SmErTe2Se",
  "functional": "PBE",
  "state": "optimized geometry",
  "lattice": [[4.3295, 0.0000, 0.0000], [0.0000, 4.3295, 0.0000], [0.0000, 0.0000, 15.5576]],
  "species": ["Sm", "Sm", "Er", "Er", "Te", "Te", "Te", "Te", "Se", "Se"],
  "fractional_positions": [[0.2500, 0.2500, 0.1308], [0.7500, 0.7500, 0.8692], [0.2500, 0.2500, 0.5900], [0.7500, 0.7500, 0.4100], [0.2500, 0.2500, 0.3916], [0.2500, 0.2500, 0.7882], [0.7500, 0.7500, 0.2118], [0.7500, 0.7500, 0.6084], [0.2500, 0.7500, 0.0000], [0.7500, 0.2500, 0.0000]],
  "e_form_raw_mev_per_atom": -1385,
  "space_group": "P4/nmm"
}

=====

16.
{
  "formula": "Sm2ErTe2Se2",
  "functional": "PBE",
  "state": "optimized geometry",
  "lattice": [[-2.6291, 2.6291, 7.9114], [2.6291, -2.6291, 7.9114], [2.6291, 2.6291, -7.9114]],
  "species": ["Sm", "Sm", "Er", "Te", "Te", "Se", "Se"],
  "fractional_positions": [[0.1165, 0.1165, 0.0000], [0.8835, 0.8835, 0.0000], [0.5000, 0.5000, 0.0000], [0.3124, 0.3124, 0.0000], [0.6876, 0.6876, 0.0000], [0.0000, 0.5000, 0.5000], [0.5000, 0.0000, 0.5000]],
  "e_form_raw_mev_per_atom": -1294,
  "space_group": "I4/mmm"
}

=====

17.
{
  "formula": "Sm2ErTh3Se6",
  "functional": "PBE",
  "state": "optimized geometry",
  "lattice": [[9.2696, -2.0458, 0.0000], [9.2696, 2.0458, 0.0000], [-2.6017, 0.0000, 8.0876]],
  "species": ["Sm", "Sm", "Er", "Th", "Th", "Th", "Se", "Se", "Se", "Se", "Se", "Se"],
  "fractional_positions": [[0.1668, 0.1668, 0.3329], [0.8332, 0.8332, 0.6671], [0.5000, 0.5000, 0.0000], [0.1683, 0.1683, 0.8335], [0.5000, 0.5000, 0.5000], [0.8317, 0.8317, 0.1665], [0.0007, 0.0007, 0.2372], [0.3315, 0.3315, 0.4216], [0.3389, 0.3389, 0.9156], [0.6611, 0.6611, 0.0844], [0.6685, 0.6685, 0.5784], [0.9993, 0.9993, 0.7628]],
  "e_form_raw_mev_per_atom": -1643,
  "space_group": "C2/m"
}

=====

18.
{
  "formula": "Sm2ErThSe5",
  "functional": "PBE",
  "state": "optimized geometry",
  "lattice": [[5.0846, 0.0000, 0.0000], [0.0000, 5.0846, 0.0000], [0.0000, 0.0000, 10.9368]],
  "species": ["Sm", "Sm", "Er", "Th", "Se", "Se", "Se", "Se", "Se"],
  "fractional_positions": [[0.0000, 0.0000, 0.1646], [0.0000, 0.0000, 0.8354], [0.5000, 0.5000, 0.0000], [0.5000, 0.5000, 0.5000], [0.0000, 0.0000, 0.5000], [0.0000, 0.5000, 0.0000], [0.5000, 0.0000, 0.0000], [0.5000, 0.5000, 0.2505], [0.5000, 0.5000, 0.7495]],
  "e_form_raw_mev_per_atom": -1130,
  "space_group": "P4/mmm"
}

=====

19.
{
  "formula": "Sm3Er2ThSe6",
  "functional": "PBE",
  "state": "optimized geometry",
  "lattice": [[8.9782, -2.0517, 0.0000], [8.9782, 2.0517, 0.0000], [-1.7460, 0.0000, 8.1583]],
  "species": ["Sm", "Sm", "Sm", "Er", "Er", "Th", "Se", "Se", "Se", "Se", "Se", "Se"],
  "fractional_positions": [[0.0000, 0.0000, 0.0000], [0.3404, 0.3404, 0.6656], [0.6596, 0.6596, 0.3344], [0.3350, 0.3350, 0.1691], [0.6650, 0.6650, 0.8309], [0.0000, 0.0000, 0.5000], [0.1706, 0.1706, 0.0775], [0.1715, 0.1715, 0.5960], [0.4943, 0.4943, 0.2420], [0.5057, 0.5057, 0.7580], [0.8285, 0.8285, 0.4040], [0.8294, 0.8294, 0.9225]],
  "e_form_raw_mev_per_atom": -1725,
  "space_group": "C2/m"
}

=====

20.
{
  "formula": "Sm2Er3ThSe6",
  "functional": "PBE",
  "state": "optimized geometry",
  "lattice": [[9.0514, -2.0350, 0.0000], [9.0514, 2.0350, 0.0000], [-2.2090, 0.0000, 8.0161]],
  "species": ["Sm", "Sm", "Er", "Er", "Er", "Th", "Se", "Se", "Se", "Se", "Se", "Se"],
  "fractional_positions": [[0.1625, 0.1625, 0.3255], [0.8375, 0.8375, 0.6745], [0.1652, 0.1652, 0.8331], [0.5000, 0.5000, 0.5000], [0.8348, 0.8348, 0.1669], [0.5000, 0.5000, 0.0000], [0.0041, 0.0041, 0.7387], [0.3282, 0.3282, 0.9250], [0.3342, 0.3342, 0.4106], [0.6658, 0.6658, 0.5894], [0.6718, 0.6718, 0.0750], [0.9959, 0.9959, 0.2613]],
  "e_form_raw_mev_per_atom": -1705,
  "space_group": "C2/m"
}

=====

21.
{
  "formula": "SmEr2ThSe4",
  "functional": "PBE",
  "state": "optimized geometry",
  "lattice": [[7.0631, 0.0000, 0.0000], [0.0000, 4.0512, 0.0000], [-2.3367, 0.0000, 6.8834]],
  "species": ["Sm", "Er", "Er", "Th", "Se", "Se", "Se", "Se"],
  "fractional_positions": [[0.0000, 0.0000, 0.0000], [0.0000, 0.5000, 0.5000], [0.5000, 0.0000, 0.5000], [0.5000, 0.5000, 0.0000], [0.2423, 0.0000, 0.7332], [0.2532, 0.5000, 0.2650], [0.7468, 0.5000, 0.7350], [0.7577, 0.0000, 0.2668]],
  "e_form_raw_mev_per_atom": -1679,
  "space_group": "P2/m"
}

=====

22.
{
  "formula": "SmErTh2Se4",
  "functional": "PBE",
  "state": "optimized geometry",
  "lattice": [[7.0154, 0.0000, 0.0000], [0.0000, 4.0968, 0.0000], [-2.3863, 0.0000, 7.0602]],
  "species": ["Sm", "Er", "Th", "Th", "Se", "Se", "Se", "Se"],
  "fractional_positions": [[0.0000, 0.0000, 0.0000], [0.5000, 0.5000, 0.0000], [0.0000, 0.5000, 0.5000], [0.5000, 0.0000, 0.5000], [0.2521, 0.5000, 0.2384], [0.2608, 0.0000, 0.7654], [0.7392, 0.0000, 0.2346], [0.7479, 0.5000, 0.7616]],
  "e_form_raw_mev_per_atom": -1635,
  "space_group": "P2/m"
}